{"formula": "NdDy3H", "functional": "PBE", "state": "optimized geometry", "spacegroup": "Pm-3m (221)", "n_ef_per_ev_atom": 0.93, "dft_energy_ev_per_atom": -4.553, "lattice": [[5.0234, 0.0000, 0.0000], [0.0000, 5.0234, 0.0000], [0.0000, 0.0000, 5.0234]], "species": ["H", "Nd", "Dy", "Dy", "Dy"], "frac_coords": [[0.0000, 0.0000, 0.0000], [0.5000, 0.5000, 0.5000], [0.0000, 0.5000, 0.0000], [0.0000, 0.0000, 0.5000], [0.5000, 0.0000, 0.0000]]}